Below is an optimized crystal structure of KPd, with properties calculated at the PBE-GGA level.

The structure belongs to space group Fm-3m (No. 225); the cell edges are 6.330, 6.330 and 6.330 Å and the angles 90.00°, 90.00° and 90.00°. The inequivalent atoms are K at (0.000, 0.000, 0.000) and Pd at (0.000, 0.000, 0.500).

As for the volume: 31.7 A^3/atom. The raw total energy comes out at -20.5 eV for the cell shown.


Below is an optimized crystal structure of KPrPdSe4, with properties calculated at the PBE-GGA level.

The structure belongs to space group P2_1 (No. 4); the cell edges are 7.277, 5.899 and 9.620 Å and the angles 90.00°, 107.84° and 90.00°. The inequivalent atoms are K at (0.248, 0.000, 0.444), Pr at (0.237, 0.035, 0.940), Pd at (0.263, 0.454, 0.191), Se at (0.054, 0.499, 0.347), Se at (0.096, 0.537, 0.930), Se at (0.439, 0.735, 0.768) and Se at (0.494, 0.800, 0.211).

As for the volume: 28.1 A^3/atom. The raw total energy comes out at -63.0 eV for the cell shown.


Below is an optimized crystal structure of KPrTe3Pd, with properties calculated at the PBE-GGA level.

The structure belongs to space group Cmcm (No. 63); the cell edges are 4.530, 17.706 and 10.432 Å and the angles 90.00°, 90.00° and 90.00°. The inequivalent atoms are K at (0.000, 0.247, 0.250), Pr at (0.000, 0.000, 0.000), Te at (0.000, 0.100, 0.750), Te at (0.000, 0.384, 0.597) and Pd at (0.000, 0.493, 0.250).

As for the volume: 34.9 A^3/atom. The raw total energy comes out at -105.3 eV for the cell shown.